This record from Alexandria via LeMat-Bulk describes an optimized crystal structure of Sr4SiO. The functional is PBE-GGA.

The space group is C2/c (No. 15) and the conventional cell measures 9.9931, 15.9594 and 7.1069 Å, with angles of 90.00, 134.19 and 90.00 degrees. The inequivalent atoms are Sr at (0.1401, 0.1988, 0.1313), Sr at (0.2395, 0.4488, 0.3473), Si at (0.0000, 0.3760, 0.7500) and O at (0.0000, 0.1212, 0.2500).

The density of states at the Fermi level comes out at 0.788 states/eV per atom. The value obtained for the calculated total energy is -3.798 eV per atom. The value obtained for the uncorrected formation energy is -947 meV per atom. For the volume, the calculation gives 812.7 Å³ per cell.